# CsPtI

CsPtI after structural relaxation (PBE-GGA, Alexandria).

a = 4.022 Å, b = 7.576 Å, c = 10.327 Å
α = 56.50°, β = 101.22°, γ = 74.66°
Atoms (fractional coordinates):
1 Cs 0.853 0.590 0.241
2 Cs 0.519 0.699 0.684
3 I 0.587 0.120 0.241
4 I 0.785 0.169 0.684
5 Pt 0.988 0.133 0.054
6 Pt 0.385 0.156 0.871

The value obtained for the volume is 229.2 Å³/cell. As for the energy relative to the elements, uncorrected: -0.584 eV per atom. For the relative energy among the computed polymorphs, the calculation gives 0.00 eV/f.u.